A PBEsol-optimized structure of SiBPCl2. Source: the Alexandria database, functional meta-GGA SCAN.

Values from the calculation:
**Total magnetic moment**: 0.000 μB/atom
**Calculated volume**: 19.27 Å³ per atom
**Formation energy from raw total energies**: 1.002 eV/atom
**DOS(E_F)**: 2.58 states/eV per cell
**Space group**: No. 123

Cell: 4.510 4.510 4.737 Å, 90.00 90.00 90.00°
Atoms (fractional coordinates):
1 Si 0.000 0.000 0.000
2 B 0.500 0.500 0.500
3 P 0.000 0.000 0.500
4 Cl 0.000 0.500 0.000
5 Cl 0.500 0.000 0.000